# PBE-GGA La2TbTh4, relaxed
data_La2TbTh4
_cell_length_a 3.584
_cell_length_b 36.845
_cell_length_c 3.589
_cell_angle_alpha 90.00
_cell_angle_beta 90.00
_cell_angle_gamma 90.00
_symmetry_space_group_name_H-M 'C m m m'
_symmetry_Int_Tables_number 65
_symmetry_space_group_name_Hall '-C 2 2'
loop_
_atom_site_label
_atom_site_type_symbol
_atom_site_fract_x
_atom_site_fract_y
_atom_site_fract_z
La1 La 0.000 0.204 0.000
Tb1 Tb 0.000 0.500 0.500
Th1 Th 0.000 0.070 0.000
Th2 Th 0.000 0.364 0.500
# Energy relative to the elements, meV/atom: 59
# Crystal system: orthorhombic
# DOS at the Fermi energy, states/eV per atom: 1.64